VASP calculation (PBE with a Hubbard U) on TmVAgF6 after structural relaxation.

Output
total magnetization: 3.0 μB per formula unit
space group: P4_2nm
E_tot: -5.820 eV per atom
crystal system: tetragonal

The structure in CIF format:
```
data_TmVAgF6
_symmetry_space_group_name_H-M 'P 1'
_symmetry_Int_Tables_number 1
_cell_length_a 5.233
_cell_length_b 5.233
_cell_length_c 10.328
_cell_angle_alpha 90.00
_cell_angle_beta 90.00
_cell_angle_gamma 90.00
loop_
_symmetry_equiv_pos_as_xyz
'x,y,z'
loop_
_atom_site_label
_atom_site_type_symbol
_atom_site_fract_x
_atom_site_fract_y
_atom_site_fract_z
_atom_site_occupancy
Tm1 Tm 0.000 0.000 0.000 1
Tm2 Tm 0.500 0.500 0.500 1
V1 V 0.000 0.000 0.338 1
V2 V 0.500 0.500 0.838 1
Ag1 Ag 0.000 0.000 0.669 1
Ag2 Ag 0.500 0.500 0.169 1
F1 F 0.175 0.175 0.170 1
F2 F 0.210 0.210 0.480 1
F3 F 0.214 0.214 0.859 1
F4 F 0.286 0.714 0.359 1
F5 F 0.290 0.710 0.980 1
F6 F 0.325 0.675 0.670 1
F7 F 0.675 0.325 0.670 1
F8 F 0.710 0.290 0.980 1
F9 F 0.714 0.286 0.359 1
F10 F 0.786 0.786 0.859 1
F11 F 0.790 0.790 0.480 1
F12 F 0.825 0.825 0.170 1
```